First-principles (PBE) data for a relaxed structure of Ba2TiCl6, as listed in Alexandria.

```
Ba2TiCl6
1.0
-6.179 -1.290 2.448
-1.178 -4.191 -5.184
4.930 -10.154 7.089
Ba Ti Cl
4 2 12
Direct
0.000 0.000 0.332
0.500 0.500 0.832
0.500 0.500 0.168
0.000 0.000 0.668
0.000 0.000 0.000
0.500 0.500 0.500
0.318 0.318 0.358
0.682 0.682 0.358
0.182 0.818 0.858
0.818 0.182 0.858
0.182 0.818 0.142
0.818 0.182 0.142
0.318 0.318 0.642
0.682 0.682 0.642
0.270 0.270 0.000
0.730 0.730 0.000
0.230 0.770 0.500
0.770 0.230 0.500
```

Properties
- ΔE_f (raw): -2055 meV per atom

***

First-principles (PBE) data for a relaxed structure of BaTiCl6, as listed in Alexandria.

```
BaTiCl6
1.0
6.590 0.000 0.000
3.295 5.707 0.000
3.295 1.902 6.098
Ba Ti Cl
1 1 6
Direct
0.500 0.500 0.500
0.000 0.000 0.000
0.909 0.909 0.774
0.407 0.909 0.774
0.091 0.593 0.226
0.593 0.091 0.226
0.091 0.091 0.226
0.909 0.407 0.774
```

Properties
- ΔE_f (raw): -1779 meV per atom

***

First-principles (PBE) data for a relaxed structure of BaTiCl3, as listed in Alexandria.

```
BaTiCl3
1.0
5.961 0.000 0.000
0.000 5.961 0.000
0.000 0.000 5.961
Cl Ba Ti
3 1 1
Direct
0.000 0.500 0.000
0.000 0.000 0.500
0.500 0.000 0.000
0.000 0.000 0.000
0.500 0.500 0.500
```

Properties
- ΔE_f (raw): -829 meV per atom